VASP calculation (SCAN) on a crystal of Li4Nb3Ni3Te2O16 relaxed with PBEsol.

Output
- Formation energy (no corrections): -55.0 eV per formula unit
- Space-group type: Cm (8)
- Magnetic moment: 5.0 μB per formula unit

The structure in POSCAR format:
```
Li4Nb3Ni3Te2O16
1.0
5.172 -3.002 0.000
5.172 3.002 0.000
-0.148 0.000 10.332
Li Nb Ni Te O
4 3 3 2 16
Direct
0.000 0.000 0.000 Li
0.002 0.002 0.483 Li
0.328 0.328 0.400 Li
0.657 0.657 0.908 Li
0.151 0.649 0.719 Nb
0.649 0.151 0.719 Nb
0.811 0.811 0.230 Nb
0.173 0.173 0.716 Ni
0.337 0.825 0.216 Ni
0.825 0.337 0.216 Ni
0.324 0.324 0.017 Te
0.634 0.634 0.491 Te
0.002 0.002 0.811 O
0.159 0.663 0.104 O
0.160 0.160 0.105 O
0.310 0.819 0.592 O
0.336 0.336 0.599 O
0.485 0.485 0.823 O
0.510 0.510 0.344 O
0.510 0.977 0.336 O
0.510 0.999 0.828 O
0.663 0.159 0.104 O
0.667 0.667 0.102 O
0.819 0.310 0.592 O
0.846 0.846 0.602 O
0.977 0.510 0.336 O
0.991 0.991 0.300 O
0.999 0.510 0.828 O
```

***

VASP calculation (SCAN) on a crystal of Li4Ti3Nb2Ni3O16 relaxed with PBEsol.

Output
- Formation energy (no corrections): -71.9 eV per formula unit
- Space-group type: Cm (8)
- Magnetic moment: 6.0 μB per formula unit

The structure in POSCAR format:
```
Li4Ti3Nb2Ni3O16
1.0
5.051 -2.941 0.000
5.051 2.941 0.000
-0.033 0.000 9.657
Li Ti Nb Ni O
4 3 2 3 16
Direct
0.000 0.000 0.000 Li
0.002 0.002 0.490 Li
0.339 0.339 0.581 Li
0.672 0.672 0.087 Li
0.181 0.181 0.258 Ti
0.351 0.847 0.768 Ti
0.847 0.351 0.768 Ti
0.356 0.356 0.000 Nb
0.671 0.671 0.486 Nb
0.170 0.662 0.276 Ni
0.662 0.170 0.276 Ni
0.833 0.833 0.777 Ni
0.006 0.006 0.187 O
0.008 0.008 0.680 O
0.035 0.477 0.138 O
0.170 0.170 0.887 O
0.172 0.675 0.891 O
0.328 0.328 0.382 O
0.338 0.840 0.395 O
0.477 0.035 0.138 O
0.487 0.487 0.144 O
0.513 0.971 0.647 O
0.523 0.523 0.654 O
0.660 0.660 0.885 O
0.675 0.172 0.891 O
0.836 0.836 0.396 O
0.840 0.338 0.395 O
0.971 0.513 0.647 O
```

***

- What is the magnetic moment in the second record?
  6.0 μB per formula unit